Below is a relaxed ErLuCoRh crystal, with properties calculated at the PBE-GGA level.

Formation energy = -0.582 eV per atom
Magnetic moment = 0.2 μB/f.u.
Volume = 18.5 Å³/atom
E = -6.47 eV per atom

Lattice parameters (Å, degrees): 4.7113 4.7113 4.7113 60.00 60.00 60.00
Last column: nearest neighbours and their distance in Å.
Atoms (fractional coordinates):
1 Co 0.2500 0.2500 0.2500  4 Er 2.89, 4 Lu 2.89
2 Er 0.5000 0.5000 0.5000  4 Co 2.89, 4 Rh 2.89
3 Rh 0.7500 0.7500 0.7500  4 Er 2.89, 4 Lu 2.89
4 Lu 0.0000 0.0000 0.0000  4 Co 2.89, 4 Rh 2.89

=====

Below is a relaxed AcZr3 crystal, with properties calculated at the PBE-GGA level.

Formation energy = 0.300 eV per atom
Magnetic moment = 0.0 μB/f.u.
ΔE to the lowest computed polymorph = 0.0456 eV/atom
Volume = 26.9 Å³/atom
E = -7.14 eV per atom

Lattice parameters (Å, degrees): 3.3759 5.7408 6.4709 116.33 105.12 90.00
Last column: nearest neighbours and their distance in Å.
Atoms (fractional coordinates):
1 Zr 0.7584 0.0933 0.5167  9 Zr 3.31-3.44, 3 Ac 3.32-3.45
2 Zr 0.2416 0.5766 0.4833  9 Zr 3.31-3.44, 3 Ac 3.32-3.45
3 Zr 0.5000 0.5028 0.0000  4 Ac 3.29-3.37, 8 Zr 3.31-3.44
4 Ac 0.0000 0.9940 0.0000  10 Zr 3.29-3.45, 2 Ac 3.38

=====

Below is a relaxed BaSbW2 crystal, with properties calculated at the PBE-GGA level.

Energy relative to the elements, uncorrected = 1.5407 eV per atom
Magnetic moment = 0.0 μB/f.u.
Volume = 22.1 Å³/atom
E = -6.45 eV per atom

Lattice parameters (Å, degrees): 5.4696 5.4696 5.4696 132.01 132.01 70.21
Last column: nearest neighbours and their distance in Å.
Atoms (fractional coordinates):
1 W 0.0000 0.0000 0.0000  4 W 3.15, 4 Sb 3.15, 4 Ba 3.15
2 W 0.5000 0.5000 0.0000  4 W 3.15, 4 Ba 3.15, 4 Sb 3.15
3 Sb 0.7500 0.2500 0.5000  4 Ba 3.15, 8 W 3.15
4 Ba 0.2500 0.7500 0.5000  4 Sb 3.15, 8 W 3.15

=====

Below is a relaxed Tb6PmYSc2 crystal, with properties calculated at the PBE-GGA level.

Formation energy = 0.123 eV per atom
Magnetic moment = 0.0 μB/f.u.
Volume = 31.1 Å³/atom
E = -5.04 eV per atom

Lattice parameters (Å, degrees): 9.4334 8.6683 8.6683 117.61 93.79 93.79
Last column: nearest neighbours and their distance in Å.
Atoms (fractional coordinates):
1 Y 0.2500 0.9729 0.0271  4 Sc 3.34-3.37, 4 Tb 3.54-3.59
2 Y 0.7500 0.0271 0.9729  4 Sc 3.34-3.37, 4 Tb 3.54-3.59
3 Sc 0.5465 0.1944 0.3012  6 Tb 3.20-3.47, 2 Y 3.34-3.37, 1 Pm 3.53
4 Sc 0.4535 0.8056 0.6988  6 Tb 3.20-3.47, 2 Y 3.34-3.37, 1 Pm 3.53
5 Sc 0.9535 0.6988 0.8056  6 Tb 3.20-3.47, 2 Y 3.34-3.37, 1 Pm 3.53
6 Sc 0.0465 0.3012 0.1944  6 Tb 3.20-3.47, 2 Y 3.34-3.37, 1 Pm 3.53
7 Tb 0.1802 0.5634 0.0216  4 Tb 3.20-3.56, 2 Sc 3.36-3.47, 1 Pm 3.44, 1 Y 3.54
8 Tb 0.1189 0.7033 0.4975  3 Sc 3.20-3.36, 3 Tb 3.20-3.36, 2 Pm 3.34-3.48
9 Tb 0.0536 0.1162 0.7571  7 Tb 3.36-3.74, 1 Sc 3.37, 2 Y 3.59-3.75
10 Tb 0.6189 0.4975 0.7033  3 Sc 3.20-3.36, 3 Tb 3.20-3.36, 2 Pm 3.34-3.48
11 Tb 0.3198 0.9784 0.4366  4 Tb 3.20-3.56, 2 Sc 3.36-3.47, 1 Pm 3.44, 1 Y 3.54
12 Tb 0.3811 0.5025 0.2967  3 Sc 3.20-3.36, 3 Tb 3.20-3.36, 2 Pm 3.34-3.48
13 Tb 0.5536 0.7571 0.1162  7 Tb 3.36-3.74, 1 Sc 3.37, 2 Y 3.59-3.75
14 Tb 0.6802 0.0216 0.5634  4 Tb 3.20-3.56, 2 Sc 3.36-3.47, 1 Pm 3.44, 1 Y 3.54
15 Tb 0.8811 0.2967 0.5025  3 Sc 3.20-3.36, 3 Tb 3.20-3.36, 2 Pm 3.34-3.48
16 Tb 0.9464 0.8838 0.2429  7 Tb 3.36-3.74, 1 Sc 3.37, 2 Y 3.59-3.75
17 Tb 0.8198 0.4366 0.9784  4 Tb 3.20-3.56, 2 Sc 3.36-3.47, 1 Pm 3.44, 1 Y 3.54
18 Tb 0.4464 0.2429 0.8838  7 Tb 3.36-3.74, 1 Sc 3.37, 2 Y 3.59-3.75
19 Pm 0.2500 0.4062 0.5938  6 Tb 3.34-3.48, 2 Sc 3.53
20 Pm 0.7500 0.5938 0.4062  6 Tb 3.34-3.48, 2 Sc 3.53